First-principles (PBE) data for a relaxed structure of Rb2NdCl6, as listed in Alexandria.

It has space group Amm2 (No. 38), with a = 4.4380 Å, b = 14.5572 Å, c = 8.3925 Å, α = 90.00°, β = 90.00° and γ = 90.00°. The inequivalent atoms are Rb at (0.0000, 0.1668, 0.0000), Nd at (0.5000, 0.0000, 0.5007), Cl at (0.0000, 0.0000, 0.7314), Cl at (0.0000, 0.1153, 0.3848), Cl at (0.5000, 0.0000, 0.1565) and Cl at (0.5000, 0.1721, 0.6721).

Its formation energy from raw total energies is -1820 meV per atom. The crystal system is orthorhombic.



First-principles (PBE) data for a relaxed structure of MoPd3Pb, as listed in Alexandria.

It has space group Pm-3m (No. 221), with a = 4.8641 Å, b = 4.8641 Å, c = 4.8641 Å, α = 90.00°, β = 90.00° and γ = 90.00°. The inequivalent atoms are Mo at (0.0000, 0.0000, 0.0000), Pd at (0.0000, 0.0000, 0.5000) and Pb at (0.5000, 0.5000, 0.5000).

The crystal system is cubic. The relative energy among the computed polymorphs comes out at 0.0000 eV per atom.



First-principles (PBE) data for a relaxed structure of La2YZn3, as listed in Alexandria.

It has space group P4/mmm (No. 123), with a = 3.6863 Å, b = 3.6863 Å, c = 11.1881 Å, α = 90.00°, β = 90.00° and γ = 90.00°. The inequivalent atoms are La at (0.0000, 0.0000, 0.1722), Y at (0.0000, 0.0000, 0.5000), Zn at (0.5000, 0.5000, 0.0000) and Zn at (0.5000, 0.5000, 0.3507).

The crystal system is tetragonal. The relative energy among the computed polymorphs comes out at 0.0000 eV per atom.



First-principles (PBE) data for a relaxed structure of Pu2SnSb2, as listed in Alexandria.

It has space group P6_3/mmc (No. 194), with a = 5.0673 Å, b = 5.0673 Å, c = 12.8412 Å, α = 90.00°, β = 90.00° and γ = 120.00°. The inequivalent atoms are Pu at (0.3333, 0.6667, 0.1100), Sn at (0.0000, 0.0000, 0.2500), Sb at (0.0000, 0.0000, 0.0000) and Sb at (0.3333, 0.6667, 0.7500).

Its formation energy from raw total energies is -349 meV per atom. The crystal system is hexagonal.